# 1
Compound: KThTc2O8
Source: Alexandria
Functional: PBE-GGA
Structure: relaxed

```
12
Lattice="6.060 0.000 0.000 -3.030 5.248 0.000 0.000 0.000 7.760" Properties=species:S:1:pos:R:3 pbc="T T T"
K 0.000 0.000 0.000
Th 0.000 0.000 3.880
Tc 0.000 3.499 5.998
Tc 3.030 1.749 1.762
O 0.000 1.790 5.323
O -1.480 4.353 5.323
O 0.000 3.499 7.741
O 1.550 0.895 2.437
O 1.480 4.353 5.323
O 3.030 1.749 0.019
O 4.510 0.895 2.437
O 3.030 3.458 2.437
```

Computed properties:
The raw total energy comes out at -92.63 eV per cell. The calculation puts the formation energy from raw total energies at -1.977 eV per atom. The space group is P-3m1 (164).

---

# 2
Compound: ThTeAu
Source: Alexandria
Functional: PBE-GGA
Structure: relaxed

```
12
Lattice="9.476 0.000 0.000 0.000 9.476 0.000 0.000 0.000 4.322" Properties=species:S:1:pos:R:3 pbc="T T T"
Th 0.860 6.325 0.000
Th 3.151 0.860 2.161
Th 6.325 8.616 2.161
Th 8.616 3.151 0.000
Te 1.664 3.938 2.161
Te 3.938 7.812 0.000
Te 5.538 1.664 0.000
Te 7.812 5.538 2.161
Au 0.864 8.314 2.161
Au 1.162 0.864 0.000
Au 8.314 8.612 0.000
Au 8.612 1.162 2.161
```

Computed properties:
The raw total energy comes out at -64.61 eV per cell. The calculation puts the formation energy from raw total energies at -0.771 eV per atom. The space group is P4_2/m (84).

---

# 3
Compound: NaYCr2As
Source: Alexandria
Functional: PBE-GGA
Structure: relaxed

```
5
Lattice="4.846 0.000 0.000 0.000 4.846 0.000 0.000 0.000 5.083" Properties=species:S:1:pos:R:3 pbc="T T T"
Na 0.000 0.000 0.000
Y 2.423 2.423 2.542
Cr 0.000 2.423 0.000
Cr 2.423 0.000 0.000
As 0.000 0.000 2.542
```

Computed properties:
The raw total energy comes out at -26.67 eV per cell. As for the energy of formation: 1001 meV per atom. The space group is P4/mmm (123).

---

# 4
Compound: Ac2NdScBi4
Source: Alexandria
Functional: PBE-GGA
Structure: relaxed

```
8
Lattice="8.076 0.000 0.000 0.000 4.676 0.000 -2.704 0.000 7.623" Properties=species:S:1:pos:R:3 pbc="T T T"
Ac 0.000 0.000 0.000
Ac -1.352 2.338 3.811
Nd 2.686 0.000 3.811
Sc 4.038 2.338 0.000
Bi 1.529 2.338 1.886
Bi 0.175 0.000 5.869
Bi 5.196 0.000 1.754
Bi 3.842 2.338 5.737
```

Computed properties:
The raw total energy comes out at -41.74 eV per cell. As for the energy of formation: -862 meV per atom. The space group is P2/m (10).

---

# 5
Compound: SrSn2Os
Source: Alexandria
Functional: PBE-GGA
Structure: relaxed

```
8
Lattice="-2.836 2.836 8.355 2.836 -2.836 8.355 2.836 2.836 -8.355" Properties=species:S:1:pos:R:3 pbc="T T T"
Sr 0.000 0.000 0.000
Sr 0.000 2.836 4.178
Sn 1.418 -0.433 6.266
Sn 2.403 1.418 2.089
Sn 1.418 3.268 -2.089
Sn 0.433 1.418 10.444
Os 2.836 0.000 4.178
Os 0.000 0.000 8.355
```

Computed properties:
The raw total energy comes out at -39.87 eV per cell. As for the energy of formation: 246 meV per atom. The space group is I-42d (122).

---

# 6
Compound: Ba2GaPd
Source: Alexandria
Functional: PBE-GGA
Structure: relaxed

```
4
Lattice="2.207 1.274 10.658 -2.207 1.274 10.658 0.000 -2.549 10.658" Properties=species:S:1:pos:R:3 pbc="T T T"
Ba 0.000 0.000 3.481
Ba 0.000 0.000 28.492
Ga 0.000 0.000 0.000
Pd 0.000 0.000 15.987
```

Computed properties:
The raw total energy comes out at -12.09 eV per cell. As for the energy of formation: -6 meV per atom. The space group is R-3m (166).

---

Q: What is the formula in the fifth record?
A: SrSn2Os

---

Q: What is the formula in the sixth record?
A: Ba2GaPd

---

Q: The highest raw total energy belongs to which entry?
A: Ba2GaPd

---

What did the first record say?
Compound: KThTc2O8
Source: Alexandria
Functional: PBE-GGA
Structure: relaxed

```
12
Lattice="6.060 0.000 0.000 -3.030 5.248 0.000 0.000 0.000 7.760" Properties=species:S:1:pos:R:3 pbc="T T T"
K 0.000 0.000 0.000
Th 0.000 0.000 3.880
Tc 0.000 3.499 5.998
Tc 3.030 1.749 1.762
O 0.000 1.790 5.323
O -1.480 4.353 5.323
O 0.000 3.499 7.741
O 1.550 0.895 2.437
O 1.480 4.353 5.323
O 3.030 1.749 0.019
O 4.510 0.895 2.437
O 3.030 3.458 2.437
```

Computed properties:
The raw total energy comes out at -92.63 eV per cell. The calculation puts the formation energy from raw total energies at -1.977 eV per atom. The space group is P-3m1 (164).